Compound: La2CoTeC
Source: Alexandria
Functional: PBE
Structure: relaxed

Calculated values
Uncorrected formation energy   -655 meV/atom
Calculated total energy   -32.60 eV for the cell shown

Lattice parameters (Å, degrees): 5.4505 5.4505 3.7421 90.00 90.00 90.00
With the nearest neighbours (Å) after each atom.
Space group P4/mmm (No. 123)
Inequivalent atoms, fractional coordinates:
1 La 0.0000 0.5000 0.0000  2 C 2.73
2 Co 0.0000 0.0000 0.5000  2 C 1.87
3 Te 0.5000 0.5000 0.5000  8 La 3.31
4 C 0.0000 0.0000 0.0000  2 Co 1.87